# 1
Density functional theory data (PBE) for a relaxed TlCu2SeBr crystal.

Cell lengths 7.424, 4.038, 9.704 Å; angles 90.00, 111.27, 90.00 degrees
Positions (direct):
Tl (0.013, 0.250, 0.260)
Tl (0.987, 0.750, 0.740)
Cu (0.428, 0.250, 0.536)
Cu (0.458, 0.250, 0.267)
Cu (0.542, 0.750, 0.733)
Cu (0.572, 0.750, 0.464)
Se (0.244, 0.750, 0.528)
Se (0.756, 0.250, 0.472)
Br (0.317, 0.750, 0.119)
Br (0.683, 0.250, 0.881)

Summary:
For the uncorrected formation energy, the calculation gives -0.295 eV per atom.

***

# 2
Density functional theory data (PBE) for a relaxed Ge2BiRh2 crystal.

Cell lengths 7.661, 7.661, 3.007 Å; angles 90.00, 90.00, 90.00 degrees
Positions (direct):
Ge (0.143, 0.357, 0.000)
Ge (0.357, 0.857, 0.000)
Ge (0.643, 0.143, 0.000)
Ge (0.857, 0.643, 0.000)
Bi (0.000, 0.000, 0.500)
Bi (0.500, 0.500, 0.500)
Rh (0.142, 0.642, 0.500)
Rh (0.358, 0.142, 0.500)
Rh (0.642, 0.858, 0.500)
Rh (0.858, 0.358, 0.500)

Summary:
The formation energy comes out at -0.18 eV per atom. Its energy relative to the lowest polymorph listed for this composition is 0.59 eV per formula unit.

***

Q: Which formula does entry 2 have?
A: Ge2BiRh2